A relaxed FeAg2Mo crystal. Source: Alexandria, functional PBE-GGA.

Structure (POSCAR):
```
FeAg2Mo
1.0
9.1386 0.0000 0.0000
0.0000 2.6814 0.0000
-0.6213 0.0000 5.1655
Fe Ag Mo
2 4 2
Direct
0.0000 0.0000 0.0000
0.5000 0.5000 0.0000
0.0028 0.5000 0.4814
0.2555 0.0000 0.7247
0.5028 0.0000 0.4814
0.7555 0.5000 0.7247
0.2511 0.5000 0.2057
0.7511 0.0000 0.2057
```

Symmetry ... Cm
Spin magnetization ... 2.16 μB per formula unit
Energy relative to the lowest polymorph listed for this composition ... 0.836 eV/f.u.
DFT total energy ... -45.9 eV per cell

***

A relaxed Nd3Ga2Sn2 crystal. Source: Alexandria, functional PBE-GGA.

Structure (POSCAR):
```
Nd3Ga2Sn2
1.0
4.3536 0.0000 0.0000
0.0000 4.5367 0.0000
0.0000 0.0000 19.2662
Nd Ga Sn
6 4 4
Direct
0.0000 0.0000 0.0000
0.0000 0.5000 0.3181
0.0000 0.5000 0.6819
0.5000 0.0000 0.1819
0.5000 0.0000 0.8181
0.5000 0.5000 0.5000
0.0000 0.0000 0.4369
0.0000 0.0000 0.5631
0.5000 0.5000 0.0631
0.5000 0.5000 0.9369
0.0000 0.5000 0.1474
0.0000 0.5000 0.8526
0.5000 0.0000 0.3526
0.5000 0.0000 0.6474
```

Symmetry ... Immm
Spin magnetization ... 0.00 μB per formula unit
DFT total energy ... -66.7 eV per cell

***

A relaxed KHfCuS3 crystal. Source: Alexandria, functional PBE-GGA.

Structure (POSCAR):
```
KHfCuS3
1.0
1.8679 -7.1680 0.0000
1.8679 7.1680 0.0000
0.0000 0.0000 9.7634
K Hf Cu S
2 2 2 6
Direct
0.2451 0.7549 0.7500
0.7549 0.2451 0.2500
0.5000 0.5000 0.0000
0.5000 0.5000 0.5000
0.0342 0.9658 0.2500
0.9658 0.0342 0.7500
0.1188 0.8812 0.0514
0.1188 0.8812 0.4486
0.4367 0.5633 0.2500
0.5633 0.4367 0.7500
0.8812 0.1188 0.5514
0.8812 0.1188 0.9486
```

Symmetry ... Cmcm
Spin magnetization ... 0.00 μB per formula unit
DFT total energy ... -70.4 eV per cell

***

A relaxed CsNpCl3 crystal. Source: Alexandria, functional PBE-GGA.

Structure (POSCAR):
```
CsNpCl3
1.0
5.5432 0.0000 0.0000
0.0000 5.5432 0.0000
0.0000 0.0000 5.5432
Cs Np Cl
1 1 3
Direct
0.0000 0.0000 0.0000
0.5000 0.5000 0.5000
0.0000 0.5000 0.5000
0.5000 0.0000 0.5000
0.5000 0.5000 0.0000
```

Symmetry ... Pm-3m
Spin magnetization ... 5.00 μB per formula unit
DFT total energy ... -27.2 eV per cell

***

A relaxed ReHg2MoBr crystal. Source: Alexandria, functional PBE-GGA.

Structure (POSCAR):
```
ReHg2MoBr
1.0
5.5129 0.0000 0.0000
0.0000 5.5129 0.0000
0.0000 0.0000 4.7926
Re Hg Mo Br
1 2 1 1
Direct
0.0000 0.0000 0.0000
0.0000 0.5000 0.5000
0.5000 0.0000 0.5000
0.0000 0.0000 0.5000
0.5000 0.5000 0.0000
```

Symmetry ... P4/mmm
Spin magnetization ... 0.99 μB per formula unit
DFT total energy ... -19.3 eV per cell

***

A relaxed LaPAu2 crystal. Source: Alexandria, functional PBE-GGA.

Structure (POSCAR):
```
LaPAu2
1.0
4.5804 0.0000 0.0000
-2.2902 3.9667 0.0000
0.0000 0.0000 14.5864
La P Au
3 3 6
Direct
0.0000 0.0000 0.0000
0.3333 0.6667 0.6667
0.6667 0.3333 0.3333
0.0000 0.0000 0.2116
0.3333 0.6667 0.8782
0.6667 0.3333 0.5449
0.0000 0.0000 0.5305
0.0000 0.0000 0.7681
0.3333 0.6667 0.1972
0.3333 0.6667 0.4348
0.6667 0.3333 0.1014
0.6667 0.3333 0.8638
```

Symmetry ... R3m
Spin magnetization ... 0.00 μB per formula unit
DFT total energy ... -59.0 eV per cell

***

A relaxed PuThPaCd crystal. Source: Alexandria, functional PBE-GGA.

Structure (POSCAR):
```
PuThPaCd
1.0
7.5004 0.0000 0.0000
0.0000 7.5004 0.0000
0.0000 0.0000 7.5004
Pu Th Pa Cd
4 4 4 4
Direct
0.0000 0.0000 0.0000
0.0000 0.5000 0.5000
0.5000 0.0000 0.5000
0.5000 0.5000 0.0000
0.0000 0.0000 0.5000
0.0000 0.5000 0.0000
0.5000 0.0000 0.0000
0.5000 0.5000 0.5000
0.2500 0.2500 0.2500
0.2500 0.7500 0.7500
0.7500 0.2500 0.7500
0.7500 0.7500 0.2500
0.2500 0.2500 0.7500
0.2500 0.7500 0.2500
0.7500 0.2500 0.2500
0.7500 0.7500 0.7500
```

Symmetry ... F-43m
Spin magnetization ... 7.08 μB per formula unit
DFT total energy ... -124.9 eV per cell

***

A relaxed Y5RhSe4 crystal. Source: Alexandria, functional PBE-GGA.

Structure (POSCAR):
```
Y5RhSe4
1.0
-2.0370 2.0370 14.5965
2.0370 -2.0370 14.5965
2.0370 2.0370 -14.5965
Y Rh Se
5 1 4
Direct
0.0000 0.0000 0.0000
0.2059 0.2059 0.0000
0.4077 0.4077 0.0000
0.5923 0.5923 0.0000
0.7941 0.7941 0.0000
0.5000 0.5000 0.0000
0.1046 0.1046 0.0000
0.3056 0.3056 0.0000
0.6944 0.6944 0.0000
0.8954 0.8954 0.0000
```

Symmetry ... I4/mmm
Spin magnetization ... 0.00 μB per formula unit
DFT total energy ... -69.2 eV per cell